No. 1
TePI: optimized geometry, PBE.

a b c (Å): 5.3682 7.5317 7.7444
angles (deg): 62.95 70.33 74.63
Closest atoms and distances in Å follow each position.
Space group P1 (No. 1)
Unique sites:
Te (0.0000, 0.0000, 0.0000) (multiplicity 1)  1 P 2.57, 1 Te 2.76
Te (0.4335, 0.7065, 0.0687) (multiplicity 1)  1 P 2.53, 1 Te 2.76
P (0.6041, 0.8214, 0.2637) (multiplicity 1)  1 P 2.24
P (0.8523, 0.5447, 0.4283) (multiplicity 1)  1 P 2.24
I (0.4584, 0.4236, 0.7232) (multiplicity 1)  1 P 2.53
I (0.9270, 0.3001, 0.2664) (multiplicity 1)  1 P 2.55

Properties
- ΔE_f (raw): 56 meV per atom

---

No. 2
TePI: optimized geometry, PBE.

a b c (Å): 3.9634 3.9634 7.1168
angles (deg): 90.00 90.00 120.00
Closest atoms and distances in Å follow each position.
Space group P3m1 (No. 156)
Unique sites:
Te (0.0000, 0.0000, 0.0000) (multiplicity 1)  3 P 2.72
P (0.3333, 0.6667, 0.7926) (multiplicity 1)  3 Te 2.72, 3 I 2.95
I (0.6667, 0.3333, 0.5308) (multiplicity 1)  3 P 2.95

Properties
- ΔE_f (raw): 80 meV per atom

---

No. 3
TePI: optimized geometry, PBE.

a b c (Å): 4.8394 6.0894 8.5868
angles (deg): 93.66 99.33 92.86
Closest atoms and distances in Å follow each position.
Space group P1 (No. 1)
Unique sites:
Te (0.0000, 0.0000, 0.0000) (multiplicity 1)  1 P 2.49
Te (0.3691, 0.6520, 0.1716) (multiplicity 1)  2 P 2.56-2.59
P (0.1459, 0.8889, 0.3690) (multiplicity 1)  1 P 2.22, 1 I 2.48
P (0.7452, 0.9784, 0.2286) (multiplicity 1)  1 P 2.22, 1 Te 2.49
I (0.6361, 0.3242, 0.8531) (multiplicity 1)  1 Te 2.92
I (0.9768, 0.6318, 0.5512) (multiplicity 1)  1 P 2.48

Properties
- ΔE_f (raw): 48 meV per atom

---

No. 4
TePI: optimized geometry, PBE.

a b c (Å): 3.8987 4.1944 7.2410
angles (deg): 105.21 105.45 90.00
Closest atoms and distances in Å follow each position.
Space group P1 (No. 1)
Unique sites:
Te (0.0000, 0.0000, 0.0000) (multiplicity 1)  2 P 2.60-2.61
P (0.5413, 0.6483, 0.0836) (multiplicity 1)  1 I 2.48, 2 Te 2.60-2.61
I (0.7240, 0.7770, 0.4523) (multiplicity 1)  1 P 2.48

Properties
- ΔE_f (raw): 109 meV per atom

---

No. 5
TiTe2PI: optimized geometry, PBE.

a b c (Å): 5.3411 5.3411 5.5784
angles (deg): 90.00 90.00 90.00
Closest atoms and distances in Å follow each position.
Space group P4/mmm (No. 123)
Unique sites:
Ti (0.0000, 0.0000, 0.0000) (multiplicity 1)  4 Te 2.67, 2 I 2.79
Te (0.0000, 0.5000, 0.0000) (multiplicity 2)  2 Ti 2.67
P (0.5000, 0.5000, 0.5000) (multiplicity 1)  4 I 3.78, 8 Te 3.86
I (0.0000, 0.0000, 0.5000) (multiplicity 1)  2 Ti 2.79

Properties
- Energy above the lowest structure with this stoichiometry: 0 meV/atom
- ΔE_f (raw): 404 meV per atom

---

No. 6
TiTe2PI: optimized geometry, PBE.

a b c (Å): 5.2969 5.2969 5.2302
angles (deg): 90.00 90.00 90.00
Closest atoms and distances in Å follow each position.
Space group P4/mmm (No. 123)
Unique sites:
Ti (0.0000, 0.0000, 0.0000) (multiplicity 1)  8 Te 3.72, 4 I 3.75
Te (0.0000, 0.5000, 0.5000) (multiplicity 2)  2 P 2.65
P (0.5000, 0.5000, 0.5000) (multiplicity 1)  2 I 2.62, 4 Te 2.65
I (0.5000, 0.5000, 0.0000) (multiplicity 1)  2 P 2.62

Properties
- Energy above the lowest structure with this stoichiometry: 171 meV/atom
- ΔE_f (raw): 575 meV per atom

---

No. 7
TiTePI2: optimized geometry, PBE.

a b c (Å): 5.5574 5.5574 5.4154
angles (deg): 90.00 90.00 90.00
Closest atoms and distances in Å follow each position.
Space group P4/mmm (No. 123)
Unique sites:
Ti (0.0000, 0.0000, 0.0000) (multiplicity 1)  2 Te 2.71, 4 I 2.78
Te (0.0000, 0.0000, 0.5000) (multiplicity 1)  2 Ti 2.71
P (0.5000, 0.5000, 0.5000) (multiplicity 1)  8 I 3.88, 4 Te 3.93
I (0.0000, 0.5000, 0.0000) (multiplicity 2)  2 Ti 2.78

Properties
- Energy above the lowest structure with this stoichiometry: 0 meV/atom
- ΔE_f (raw): 342 meV per atom

---

No. 8
TiTePI2: optimized geometry, PBE.

a b c (Å): 5.3152 5.3152 5.5547
angles (deg): 90.00 90.00 90.00
Closest atoms and distances in Å follow each position.
Space group P4/mmm (No. 123)
Unique sites:
Ti (0.0000, 0.0000, 0.0000) (multiplicity 1)  4 Te 3.76, 8 I 3.84
Te (0.5000, 0.5000, 0.0000) (multiplicity 1)  2 P 2.78
P (0.5000, 0.5000, 0.5000) (multiplicity 1)  4 I 2.66, 2 Te 2.78
I (0.0000, 0.5000, 0.5000) (multiplicity 2)  2 P 2.66

Properties
- Energy above the lowest structure with this stoichiometry: 242 meV/atom
- ΔE_f (raw): 584 meV per atom

---

No. 9
TlTe2PI: optimized geometry, PBE.

a b c (Å): 5.3839 5.3839 5.6659
angles (deg): 90.00 90.00 90.00
Closest atoms and distances in Å follow each position.
Space group P4/mmm (No. 123)
Unique sites:
Tl (0.0000, 0.0000, 0.0000) (multiplicity 1)  4 I 3.81, 8 Te 3.91
Te (0.0000, 0.5000, 0.5000) (multiplicity 2)  2 P 2.69
P (0.5000, 0.5000, 0.5000) (multiplicity 1)  4 Te 2.69, 2 I 2.83
I (0.5000, 0.5000, 0.0000) (multiplicity 1)  2 P 2.83

Properties
- Energy above the lowest structure with this stoichiometry: 0 meV/atom
- ΔE_f (raw): 154 meV per atom

---

No. 10
TlTe2PI: optimized geometry, PBE.

a b c (Å): 5.8782 5.8782 6.0341
angles (deg): 90.00 90.00 90.00
Closest atoms and distances in Å follow each position.
Space group P4/mmm (No. 123)
Unique sites:
Tl (0.0000, 0.0000, 0.0000) (multiplicity 1)  4 Te 2.94, 2 I 3.02
Te (0.0000, 0.5000, 0.0000) (multiplicity 2)  2 Tl 2.94
P (0.5000, 0.5000, 0.5000) (multiplicity 1)  4 I 4.16, 8 Te 4.21
I (0.0000, 0.0000, 0.5000) (multiplicity 1)  2 Tl 3.02

Properties
- Energy above the lowest structure with this stoichiometry: 844 meV/atom
- ΔE_f (raw): 998 meV per atom

---

No. 11
Te2PWI: optimized geometry, PBE.

a b c (Å): 5.2911 5.2911 5.1288
angles (deg): 90.00 90.00 90.00
Closest atoms and distances in Å follow each position.
Space group P4/mmm (No. 123)
Unique sites:
Te (0.0000, 0.5000, 0.0000) (multiplicity 2)  2 P 2.65
P (0.0000, 0.0000, 0.0000) (multiplicity 1)  2 I 2.56, 4 Te 2.65
W (0.5000, 0.5000, 0.5000) (multiplicity 1)  8 Te 3.68, 4 I 3.74
I (0.0000, 0.0000, 0.5000) (multiplicity 1)  2 P 2.56

Properties
- Energy above the lowest structure with this stoichiometry: 384 meV/atom
- ΔE_f (raw): 1428 meV per atom

---

No. 12
TePWI2: optimized geometry, PBE.

a b c (Å): 5.6890 5.6890 5.2408
angles (deg): 90.00 90.00 90.00
Closest atoms and distances in Å follow each position.
Space group P4/mmm (No. 123)
Unique sites:
Te (0.0000, 0.0000, 0.0000) (multiplicity 1)  2 W 2.62
P (0.5000, 0.5000, 0.0000) (multiplicity 1)  8 I 3.87, 4 Te 4.02
W (0.0000, 0.0000, 0.5000) (multiplicity 1)  2 Te 2.62, 4 I 2.84
I (0.0000, 0.5000, 0.5000) (multiplicity 2)  2 W 2.84

Properties
- Energy above the lowest structure with this stoichiometry: 0 meV/atom
- ΔE_f (raw): 1068 meV per atom